[1]
DFT (GGA-PBE) results for a geometry-optimized SrAl3F structure.

For the uncorrected formation energy, the calculation gives 1.0389 eV per atom. Its volume is 49.50 Å³/atom. As for the total magnetization: 1.9 Bohr magnetons per cell.

It has space group Pm-3m (No. 221), with a = 6.279 Å, b = 6.279 Å, c = 6.279 Å, α = 90.00°, β = 90.00° and γ = 90.00°. The inequivalent atoms are Sr at (0.000, 0.000, 0.000), Al at (0.000, 0.000, 0.500) and F at (0.500, 0.500, 0.500).

[2]
DFT (GGA-PBE) results for a geometry-optimized Y3MgZn4 structure.

For the formation energy, the calculation gives -0.3350 eV per atom. Its volume is 21.74 Å³/atom. As for the total magnetization: 0.0 Bohr magnetons per cell.

It has space group R-3m (No. 166, hexagonal axes), with a = 4.9416 Å, b = 4.9416 Å, c = 24.6706 Å, α = 90.00°, β = 90.00° and γ = 120.00°. The inequivalent atoms are Y at (0.0000, 0.0000, 0.0000), Y at (0.0000, 0.0000, 0.2447), Mg at (0.0000, 0.0000, 0.5000), Zn at (0.0000, 0.0000, 0.1249) and Zn at (0.0000, 0.0000, 0.3739).

[3]
DFT (GGA-PBE) results for a geometry-optimized MgSiW2 structure.

For the uncorrected formation energy, the calculation gives 0.2798 eV per atom. Its volume is 15.88 Å³/atom. As for the total magnetization: 0.0 Bohr magnetons per cell.

It has space group P2/m (No. 10), with a = 2.757 Å, b = 4.451 Å, c = 5.199 Å, α = 90.00°, β = 95.41° and γ = 90.00°. The inequivalent atoms are Mg at (0.000, 0.000, 0.000), Si at (0.500, 0.000, 0.500) and W at (0.325, 0.500, 0.753).

[4]
DFT (GGA-PBE) results for a geometry-optimized Ca3Ho2PaAs6 structure.

For the formation energy, the calculation gives -1.2593 eV per atom. Its volume is 25.81 Å³/atom. As for the total magnetization: 0.0 Bohr magnetons per cell.

It has space group C2/m (No. 12), with a = 7.227 Å, b = 12.531 Å, c = 7.253 Å, α = 90.00°, β = 109.43° and γ = 90.00°. The inequivalent atoms are Ca at (0.000, 0.000, 0.000), Ca at (0.000, 0.331, 0.000), Ho at (0.000, 0.167, 0.500), Pa at (0.000, 0.500, 0.500), As at (0.242, 0.336, 0.734) and As at (0.249, 0.500, 0.266).

[5]
DFT (GGA-PBE) results for a geometry-optimized Tm4TlAg structure.

For the formation energy, the calculation gives -0.2003 eV per atom. Its volume is 26.91 Å³/atom. As for the total magnetization: 0.8 Bohr magnetons per cell.

It has space group P4/mmm (No. 123), with a = 3.551 Å, b = 3.551 Å, c = 12.806 Å, α = 90.00°, β = 90.00° and γ = 90.00°. The inequivalent atoms are Tm at (0.000, 0.000, 0.144), Tm at (0.500, 0.500, 0.336), Tl at (0.000, 0.000, 0.500) and Ag at (0.500, 0.500, 0.000).

[6]
DFT (GGA-PBE) results for a geometry-optimized LiPdPt3 structure.

For the formation energy, the calculation gives 0.4741 eV per atom. Its volume is 15.12 Å³/atom. As for the total magnetization: 0.0 Bohr magnetons per cell.

It has space group Pm-3m (No. 221), with a = 4.229 Å, b = 4.229 Å, c = 4.229 Å, α = 90.00°, β = 90.00° and γ = 90.00°. The inequivalent atoms are Li at (0.000, 0.000, 0.000), Pd at (0.500, 0.500, 0.500) and Pt at (0.000, 0.000, 0.500).

[7]
DFT (GGA-PBE) results for a geometry-optimized Rb4Np3PtSe8 structure.

For the uncorrected formation energy, the calculation gives -1.0408 eV per atom. Its volume is 31.30 Å³/atom. As for the total magnetization: 22.0 Bohr magnetons per cell.

It has space group C2/m (No. 12), with a = 15.203 Å, b = 8.200 Å, c = 9.325 Å, α = 90.00°, β = 120.50° and γ = 90.00°. The inequivalent atoms are Rb at (0.000, 0.000, 0.000), Rb at (0.000, 0.500, 0.000), Rb at (0.250, 0.250, 0.000), Np at (0.000, 0.000, 0.500), Np at (0.250, 0.250, 0.500), Pt at (0.000, 0.500, 0.500), Se at (0.024, 0.278, 0.328), Se at (0.225, 0.000, 0.696) and Se at (0.234, 0.000, 0.281).

[8]
DFT (GGA-PBE) results for a geometry-optimized ScMn4Cu structure.

For the formation energy, the calculation gives 0.1244 eV per atom. Its volume is 12.79 Å³/atom. As for the total magnetization: 0.0 Bohr magnetons per cell.

It has space group F-43m (No. 216), with a = 6.746 Å, b = 6.746 Å, c = 6.746 Å, α = 90.00°, β = 90.00° and γ = 90.00°. The inequivalent atoms are Sc at (0.000, 0.000, 0.000), Mn at (0.124, 0.124, 0.624) and Cu at (0.250, 0.250, 0.250).

[9]
DFT (GGA-PBE) results for a geometry-optimized Ca2WAu structure.

For the formation energy, the calculation gives 0.3992 eV per atom. Its volume is 23.64 Å³/atom. As for the total magnetization: 0.0 Bohr magnetons per cell.

It has space group Imm2 (No. 44), with a = 3.102 Å, b = 5.305 Å, c = 11.494 Å, α = 90.00°, β = 90.00° and γ = 90.00°. The inequivalent atoms are Ca at (0.000, 0.000, 0.000), Ca at (0.000, 0.500, 0.200), W at (0.000, 0.500, 0.761) and Au at (0.000, 0.000, 0.457).

[10]
DFT (GGA-PBE) results for a geometry-optimized BaZnSbI structure.

For the uncorrected formation energy, the calculation gives -0.9381 eV per atom. Its volume is 39.13 Å³/atom. As for the total magnetization: 0.0 Bohr magnetons per cell.

It has space group R-3m (No. 166, hexagonal axes), with a = 4.7445 Å, b = 4.7445 Å, c = 48.1777 Å, α = 90.00°, β = 90.00° and γ = 120.00°. The inequivalent atoms are Ba at (0.0000, 0.0000, 0.0826), Zn at (0.0000, 0.0000, 0.3110), Sb at (0.0000, 0.0000, 0.3692) and I at (0.0000, 0.0000, 0.2082).

[11]
DFT (GGA-PBE) results for a geometry-optimized MgCoBr4 structure.

For the uncorrected formation energy, the calculation gives -0.8633 eV per atom. Its volume is 29.77 Å³/atom. As for the total magnetization: 6.0 Bohr magnetons per cell.

It has space group C2/m (No. 12), with a = 14.226 Å, b = 3.815 Å, c = 6.617 Å, α = 90.00°, β = 95.76° and γ = 90.00°. The inequivalent atoms are Mg at (0.000, 0.000, 0.000), Co at (0.000, 0.500, 0.500), Br at (0.102, 0.000, 0.364) and Br at (0.105, 0.500, 0.849).

[12]
DFT (GGA-PBE) results for a geometry-optimized PmTm3Hg structure.

For the formation energy, the calculation gives -0.1085 eV per atom. Its volume is 29.81 Å³/atom. As for the total magnetization: 0.0 Bohr magnetons per cell.

It has space group C2/m (No. 12), with a = 11.151 Å, b = 7.243 Å, c = 7.881 Å, α = 90.00°, β = 110.47° and γ = 90.00°. The inequivalent atoms are Pm at (0.060, 0.000, 0.235), Tm at (0.062, 0.500, 0.244), Tm at (0.160, 0.250, 0.639) and Hg at (0.237, 0.500, 0.000).